{
  "formula": "La2ThGa",
  "functional": "PBE",
  "state": "optimized geometry",
  "lattice": [[-2.5123, 3.6104, -2.3207], [-4.1454, -2.4301, 0.7070], [-0.6207, 2.2916, 4.2371]],
  "species": ["Ga", "Th", "La", "La"],
  "frac_coords": [[0.5000, 0.0000, 0.0000], [0.5000, 0.5000, 0.5000], [0.0000, 0.0000, 0.5000], [0.0000, 0.5000, 0.0000]],
  "ef_ev_per_atom": -0.1973,
  "total_energy_ev_per_atom": -5.2727,
  "spacegroup": "No. 123"
}

=====

{
  "formula": "La2Th3Ga4",
  "functional": "PBE",
  "state": "optimized geometry",
  "lattice": [[7.8162, 0.0886, 0.0000], [-2.4806, 7.8011, 0.0000], [0.0000, 0.0000, 8.2081]],
  "species": ["La", "La", "La", "La", "Th", "Th", "Th", "Th", "Th", "Th", "Ga", "Ga", "Ga", "Ga", "Ga", "Ga", "Ga", "Ga"],
  "frac_coords": [[0.5742, 0.1913, 0.3243], [0.9258, 0.8087, 0.8243], [0.4258, 0.8087, 0.6757], [0.0742, 0.1913, 0.1757], [0.0000, 0.5000, 0.5000], [0.5000, 0.5000, 0.0000], [0.7514, 0.2433, 0.8204], [0.7486, 0.7567, 0.3204], [0.2486, 0.7567, 0.1796], [0.2514, 0.2433, 0.6796], [0.8705, 0.0777, 0.5319], [0.6295, 0.9223, 0.0319], [0.1295, 0.9223, 0.4681], [0.3705, 0.0777, 0.9681], [0.8774, 0.4911, 0.1204], [0.6226, 0.5089, 0.6204], [0.1226, 0.5089, 0.8796], [0.3774, 0.4911, 0.3796]],
  "ef_ev_per_atom": -0.4669,
  "total_energy_ev_per_atom": -5.3805,
  "spacegroup": "No. 14"
}

=====

{
  "formula": "La2ThGa",
  "functional": "PBE",
  "state": "optimized geometry",
  "lattice": [[-3.0821, -4.4074, -1.3482], [2.0256, -3.8539, -3.4332], [1.3363, -5.0161, 1.9421]],
  "species": ["Ga", "Th", "La", "La"],
  "frac_coords": [[0.0000, 0.0000, 0.0000], [0.5000, 0.5000, 0.5000], [0.7501, 0.7501, 0.7498], [0.2499, 0.2499, 0.2502]],
  "ef_ev_per_atom": 0.0092,
  "total_energy_ev_per_atom": -5.0662,
  "spacegroup": "No. 225"
}

=====

{
  "formula": "LaTh2Ga",
  "functional": "PBE",
  "state": "optimized geometry",
  "lattice": [[3.8664, 0.0000, 0.0000], [0.0000, 3.8664, 0.0000], [0.0000, 0.0000, 8.0094]],
  "species": ["Ga", "Th", "Th", "La"],
  "frac_coords": [[0.5000, 0.5000, 0.0000], [0.0000, 0.0000, 0.8006], [0.0000, 0.0000, 0.1994], [0.5000, 0.5000, 0.5000]],
  "ef_ev_per_atom": -0.1304,
  "total_energy_ev_per_atom": -5.8289,
  "spacegroup": "No. 123"
}